1.
Entry from Alexandria via LeMat-Bulk: a geometry-optimized K12Rb6O structure (PBE-GGA).

Structure (POSCAR):
```
K12Rb6O
1.0
10.972 2.641 -0.409
-0.510 11.274 -0.409
1.986 2.641 10.799
K Rb O
12 6 1
Cartesian
10.010 4.530 1.268
10.869 5.682 8.722
3.404 4.537 9.495
6.020 7.955 1.685
2.942 7.993 5.462
5.625 11.509 4.471
9.044 12.019 0.486
2.438 12.026 8.713
1.579 10.874 1.259
6.822 5.046 5.510
6.428 8.600 8.296
9.505 8.563 4.519
7.022 13.326 8.729
1.569 6.109 1.285
10.879 10.446 8.696
5.426 3.229 1.252
10.012 13.352 4.957
2.435 3.204 5.024
0.000 0.000 0.000
```

Properties
E_form (uncorrected) = -0.15 eV/atom
SG = No. 148

2.
Entry from Alexandria via LeMat-Bulk: a geometry-optimized KRbRe2O8 structure (PBE-GGA).

Structure (POSCAR):
```
KRbRe2O8
1.0
6.468 0.000 0.000
3.234 5.717 0.387
3.234 2.503 6.929
K Re Rb O
1 2 1 8
Cartesian
0.000 0.000 0.000
9.702 6.405 5.928
3.234 1.816 1.388
6.468 4.110 3.658
8.277 7.293 5.413
6.468 3.793 0.751
11.127 7.293 5.413
4.659 0.928 1.903
9.702 4.785 5.251
6.468 4.428 6.565
3.234 3.435 2.065
1.809 0.928 1.903
```

Properties
E_form (uncorrected) = -1.86 eV/atom
SG = No. 12

3.
Entry from Alexandria via LeMat-Bulk: a geometry-optimized KRb2ReO4 structure (PBE-GGA).

Structure (POSCAR):
```
KRb2ReO4
1.0
-1.479 2.028 5.571
2.190 -5.698 -0.263
4.733 2.786 -2.677
Rb O K Re
2 4 1 1
Cartesian
2.086 -2.563 1.918
0.000 0.000 0.000
1.037 -0.913 4.639
1.651 0.285 2.312
3.598 0.370 -1.665
4.602 -1.509 -0.025
3.358 1.679 0.712
3.462 -1.456 -1.470
```

Properties
E_form (uncorrected) = -1.64 eV/atom
SG = No. 82

4.
Entry from Alexandria via LeMat-Bulk: a geometry-optimized KRb3Re2O9 structure (PBE-GGA).

Structure (POSCAR):
```
KRb3Re2O9
1.0
5.920 0.000 0.000
-2.960 5.127 0.000
0.000 0.000 7.985
O K Rb Re
9 1 3 2
Cartesian
1.319 4.179 2.170
2.960 0.000 0.000
1.480 2.564 0.000
2.960 3.232 5.815
0.000 1.895 2.170
-1.319 4.179 2.170
4.279 0.948 5.815
1.641 0.948 5.815
-1.480 2.564 0.000
0.000 0.000 3.992
0.000 0.000 0.000
2.960 1.709 2.469
0.000 3.418 5.516
2.960 1.709 6.770
0.000 3.418 1.215
```

Properties
E_form (uncorrected) = -1.70 eV/atom
SG = No. 164

5.
Entry from Alexandria via LeMat-Bulk: a geometry-optimized K3RbRe2O8 structure (PBE-GGA).

Structure (POSCAR):
```
K3RbRe2O8
1.0
-2.892 4.372 3.697
1.640 -5.695 2.454
7.440 3.080 2.177
K Re O Rb
3 2 8 1
Cartesian
0.000 0.000 0.000
5.180 -0.249 4.346
1.008 2.006 3.982
4.618 3.500 5.038
1.570 -1.743 3.290
4.653 2.792 3.371
-1.226 1.081 3.328
3.337 4.781 5.053
1.535 -1.035 4.957
2.851 -3.024 3.275
4.083 2.190 6.169
2.105 -0.433 2.159
7.414 0.677 5.000
3.720 1.540 1.089
```

Properties
E_form (uncorrected) = -1.69 eV/atom
SG = No. 164

6.
Entry from Alexandria via LeMat-Bulk: a geometry-optimized K3Rb2ReO6 structure (PBE-GGA).

Structure (POSCAR):
```
K3Rb2ReO6
1.0
6.652 -0.002 -0.029
-3.326 5.760 -0.029
-1.135 -1.965 5.871
K O Re Rb
3 6 1 2
Cartesian
1.095 1.897 2.907
4.538 -0.091 2.907
-2.347 3.885 2.907
0.629 3.810 4.675
1.562 -0.017 1.138
-0.342 -0.592 4.787
2.533 4.385 1.027
2.986 2.449 4.675
-0.795 1.344 1.138
0.000 0.000 0.000
-0.015 3.848 -0.029
3.341 1.910 -0.029
```

Properties
E_form (uncorrected) = -1.62 eV/atom
SG = No. 12

7.
Entry from Alexandria via LeMat-Bulk: a geometry-optimized KRbReO4 structure (PBE-GGA).

Structure (POSCAR):
```
KRbReO4
1.0
6.612 0.000 0.069
0.000 6.619 0.000
-2.510 0.000 7.207
K Rb O Re
2 2 8 2
Cartesian
4.230 4.964 3.438
-0.128 1.655 3.839
1.785 1.655 0.493
2.317 4.964 6.783
2.633 1.655 3.279
4.222 3.068 5.358
1.469 4.964 3.997
2.482 4.964 1.286
1.620 1.655 5.990
-0.120 3.551 1.919
4.222 0.242 5.358
-0.120 6.377 1.919
3.139 1.655 5.008
0.962 4.964 2.269
```

Properties
E_form (uncorrected) = -1.71 eV/atom
SG = No. 11

8.
Entry from Alexandria via LeMat-Bulk: a geometry-optimized K2Rb2ReO6 structure (PBE-GGA).

Structure (POSCAR):
```
K2Rb2ReO6
1.0
-0.935 4.263 -4.541
3.993 -4.671 -1.381
-5.786 -3.265 -0.208
K O Rb Re
2 6 2 1
Cartesian
-0.603 -3.216 -2.576
-2.125 -0.457 -3.553
1.259 -2.529 -4.536
-1.341 -1.120 -1.076
-1.387 -2.553 -5.053
0.009 -0.264 -5.337
-3.988 -1.144 -1.594
-2.738 -3.410 -0.792
-0.063 2.682 -3.981
3.121 -3.090 -1.940
-2.893 -1.633 -0.104
```

Properties
E_form (uncorrected) = -1.53 eV/atom
SG = No. 12

Q: Which formula does entry 1 have?
A: K12Rb6O